A plane-wave DFT calculation with PBE with a Hubbard U was carried out for an optimized crystal structure of PWSO2.

Properties
Energy   -5.048 eV/atom

Unit cell a=3.733 b=3.733 c=4.734 alpha=90.00 beta=90.00 gamma=90.00
Last column: magnetic moment on the atom in μB.
Fractional positions:
P  0.000  0.000  0.500  -0.07
S  0.000  0.000  0.000  0.03
O  0.000  0.500  0.000  0.04
O  0.500  0.000  0.000  0.04
W  0.500  0.500  0.500  2.79